Entry 1:
Material: Na4IrRh3S8
Method: DFT, GGA-PBE
State: optimized geometry

## Properties
Uncorrected formation energy in eV per atom: -0.7259
Final energy in eV/cell: -80.8
V in Å³/atom: 18.1

Cell: 7.314 7.534 7.314 Å, 119.06 120.00 90.00°
Fractional coordinates of all 16 atoms:
1 Na 0.500 0.000 0.000
2 Na 0.500 0.000 0.500
3 Na 0.000 0.000 0.000
4 Na 0.000 0.000 0.500
5 Ir 0.000 0.500 0.000
6 Rh 0.500 0.500 0.000
7 Rh 0.500 0.500 0.500
8 Rh 0.000 0.500 0.500
9 S 0.229 0.687 0.959
10 S 0.229 0.687 0.457
11 S 0.270 0.311 0.541
12 S 0.730 0.687 0.959
13 S 0.270 0.313 0.041
14 S 0.730 0.689 0.459
15 S 0.771 0.313 0.543
16 S 0.771 0.313 0.041

***

Entry 2:
Material: Na3IrRh3S8
Method: DFT, GGA-PBE
State: optimized geometry

## Properties
Uncorrected formation energy in eV per atom: -0.6511
Final energy in eV/cell: -77.7
V in Å³/atom: 19.2

Cell: 7.233 7.238 7.597 Å, 118.53 90.00 119.98°
Fractional coordinates of all 15 atoms:
1 Na 0.000 0.000 0.000
2 Na 0.000 0.500 0.000
3 Na 0.500 0.500 0.000
4 Ir 0.000 0.000 0.500
5 Rh 0.500 0.000 0.500
6 Rh 0.500 0.500 0.500
7 Rh 0.000 0.500 0.500
8 S 0.271 0.542 0.313
9 S 0.729 0.458 0.687
10 S 0.771 0.543 0.313
11 S 0.229 0.457 0.687
12 S 0.771 0.041 0.313
13 S 0.229 0.959 0.687
14 S 0.270 0.041 0.313
15 S 0.730 0.959 0.687

***

> Which value of final energy does entry 2 give?

-77.7 eV/cell